[1]
# HfTi4Zn5

A relaxed HfTi4Zn5 crystal (PBE-GGA, Alexandria via LeMat-Bulk).

**Crystal system**: tetragonal
**Volume**: 160.3 Å³/f.u.
**Energy relative to the elements**: -1.85 eV per formula unit

abc: 3.1802 3.1802 15.8487
angles: 90.00 90.00 90.00
Space group P4/mmm (No. 123)
Inequivalent atoms, fractional coordinates:
1 Hf 0.0000 0.0000 0.0000 [1 per cell]
2 Ti 0.0000 0.0000 0.2074 [2 per cell]
3 Ti 0.0000 0.0000 0.4024 [2 per cell]
4 Zn 0.5000 0.5000 0.1115 [2 per cell]
5 Zn 0.5000 0.5000 0.3049 [2 per cell]
6 Zn 0.5000 0.5000 0.5000 [1 per cell]

[2]
# HfTi2Zn

A relaxed HfTi2Zn crystal (PBE-GGA, Alexandria via LeMat-Bulk).

**Crystal system**: trigonal
**Volume**: 73.4 Å³/f.u.
**Energy relative to the elements**: 0.09 eV per formula unit

abc: 3.0289 3.0289 27.7123
angles: 90.00 90.00 120.00
Space group R3m (No. 160, hexagonal axes)
Inequivalent atoms, fractional coordinates:
1 Hf 0.0000 0.0000 0.0000 [3 per cell]
2 Ti 0.0000 0.0000 0.2466 [3 per cell]
3 Ti 0.0000 0.0000 0.4196 [3 per cell]
4 Zn 0.0000 0.0000 0.8332 [3 per cell]

[3]
# HfTi2Zn

A relaxed HfTi2Zn crystal (PBE-GGA, Alexandria via LeMat-Bulk).

**Crystal system**: tetragonal
**Volume**: 74.3 Å³/f.u.
**Energy relative to the elements**: 1.26 eV per formula unit

abc: 7.3703 7.3703 5.4739
angles: 90.00 90.00 90.00
Space group I-42d (No. 122)
Inequivalent atoms, fractional coordinates:
1 Hf 0.0000 0.0000 0.0000 [4 per cell]
2 Ti 0.2229 0.7500 0.6250 [8 per cell]
3 Zn 0.0000 0.0000 0.5000 [4 per cell]

[4]
# Hf2ZrTiZn

A relaxed Hf2ZrTiZn crystal (PBE-GGA, Alexandria via LeMat-Bulk).

**Crystal system**: tetragonal
**Volume**: 126.4 Å³/f.u.
**Energy relative to the elements**: 6.38 eV per formula unit

abc: 5.1590 5.1590 4.7488
angles: 90.00 90.00 90.00
Space group P4/mmm (No. 123)
Inequivalent atoms, fractional coordinates:
1 Hf 0.0000 0.5000 0.0000 [2 per cell]
2 Zr 0.0000 0.0000 0.0000 [1 per cell]
3 Ti 0.0000 0.0000 0.5000 [1 per cell]
4 Zn 0.5000 0.5000 0.5000 [1 per cell]

[5]
# HfZr14Ti

A relaxed HfZr14Ti crystal (PBE-GGA, Alexandria via LeMat-Bulk).

**Crystal system**: orthorhombic
**Volume**: 366.1 Å³/f.u.
**Energy relative to the elements**: 0.73 eV per formula unit

abc: 9.6685 7.7996 9.7096
angles: 90.00 90.00 90.00
Space group Amm2 (No. 38)
Inequivalent atoms, fractional coordinates:
1 Hf 0.0000 0.0000 0.0000 [2 per cell]
2 Zr 0.0000 0.2147 0.7290 [4 per cell]
3 Zr 0.2312 0.0000 0.2344 [4 per cell]
4 Zr 0.2422 0.2163 0.5077 [8 per cell]
5 Zr 0.2641 0.0000 0.7837 [4 per cell]
6 Zr 0.5000 0.0000 0.0165 [2 per cell]
7 Zr 0.5000 0.0000 0.5703 [2 per cell]
8 Zr 0.5000 0.2108 0.2893 [4 per cell]
9 Ti 0.0000 0.0000 0.4430 [2 per cell]

[6]
# Hf4Zr5Ti

A relaxed Hf4Zr5Ti crystal (PBE-GGA, Alexandria via LeMat-Bulk).

**Crystal system**: triclinic
**Volume**: 223.1 Å³/f.u.
**Energy relative to the elements**: 0.82 eV per formula unit

abc: 3.1186 7.8066 9.7004
angles: 71.25 86.64 86.68
Space group P-1 (No. 2)
Inequivalent atoms, fractional coordinates:
1 Hf 0.0119 0.2127 0.1748 [2 per cell]
2 Hf 0.4523 0.5896 0.1126 [2 per cell]
3 Zr 0.0374 0.1853 0.7201 [2 per cell]
4 Zr 0.1870 0.6032 0.5895 [2 per cell]
5 Zr 0.5000 0.0000 0.5000 [1 per cell]
6 Ti 0.5000 0.0000 0.0000 [1 per cell]